# LuCoC

A relaxed structure of LuCoC (PBE-GGA, the Alexandria database).

The value obtained for the volume is 14.25 Å³ per atom. Its formation energy is -0.368 eV per atom. For the offset from the most stable computed form, the calculation gives 0.00 kJ per mole of atoms.

The structure belongs to space group P4_2/mmc (No. 131); the cell edges are 3.5888, 3.5888 and 6.6405 Å and the angles 90.00°, 90.00° and 90.00°. The inequivalent atoms are Lu at (0.0000, 0.0000, 0.2500), Co at (0.5000, 0.5000, 0.0000) and C at (0.0000, 0.5000, 0.0000).

***

# Hf2HS

A relaxed structure of Hf2HS (PBE-GGA, the Alexandria database).

The value obtained for the volume is 14.57 Å³ per atom. For the offset from the most stable computed form, the calculation gives 35.68 kJ per mole of atoms.

The structure belongs to space group Fm-3m (No. 225); the cell edges are 6.1545, 6.1545 and 6.1545 Å and the angles 90.00°, 90.00° and 90.00°. The inequivalent atoms are Hf at (0.2500, 0.2500, 0.2500), H at (0.0000, 0.0000, 0.0000) and S at (0.0000, 0.0000, 0.5000).

***

# LiMg2OsO6

A relaxed structure of LiMg2OsO6 (PBE-GGA, the Alexandria database).

For the raw formation energy, the calculation gives -1791 meV/atom. The value obtained for the volume is 10.88 Å³ per atom.

The structure belongs to space group R3 (No. 146, hexagonal axes); the cell edges are 5.1698, 5.1698 and 14.0997 Å and the angles 90.00°, 90.00° and 120.00°. The inequivalent atoms are Li at (0.0000, 0.0000, 0.0000), Mg at (0.0000, 0.0000, 0.2162), Mg at (0.0000, 0.0000, 0.7230), Os at (0.0000, 0.0000, 0.5245), O at (0.0323, 0.3459, 0.1214) and O at (0.0432, 0.6686, 0.2774).

***

# Th2GaRh3

A relaxed structure of Th2GaRh3 (PBE-GGA, the Alexandria database).

The value obtained for the volume is 19.12 Å³ per atom. Its formation energy is -0.845 eV per atom.

The structure belongs to space group R-3m (No. 166, hexagonal axes); the cell edges are 5.7065, 5.7065 and 12.2011 Å and the angles 90.00°, 90.00° and 120.00°. The inequivalent atoms are Th at (0.0000, 0.0000, 0.1294), Ga at (0.0000, 0.0000, 0.5000) and Rh at (0.0000, 0.5000, 0.0000).

***

# LiLa2Sc2

A relaxed structure of LiLa2Sc2 (PBE-GGA, the Alexandria database).

The value obtained for the volume is 31.08 Å³ per atom. Its formation energy is 0.364 eV per atom. For the offset from the most stable computed form, the calculation gives 0.00 kJ per mole of atoms.

The structure belongs to space group P4/mbm (No. 127); the cell edges are 9.2200, 9.2200 and 3.6564 Å and the angles 90.00°, 90.00° and 90.00°. The inequivalent atoms are Li at (0.0000, 0.0000, 0.0000), La at (0.1309, 0.3691, 0.0000) and Sc at (0.1695, 0.6695, 0.5000).

***

# LaAg4W

A relaxed structure of LaAg4W (PBE-GGA, the Alexandria database).

The value obtained for the volume is 20.81 Å³ per atom. Its formation energy is 0.474 eV per atom.

The structure belongs to space group F-43m (No. 216); the cell edges are 7.9340, 7.9340 and 7.9340 Å and the angles 90.00°, 90.00° and 90.00°. The inequivalent atoms are La at (0.0000, 0.0000, 0.0000), Ag at (0.1243, 0.1243, 0.3757) and W at (0.2500, 0.2500, 0.7500).

***

# KLiHgTe2

A relaxed structure of KLiHgTe2 (PBE-GGA, the Alexandria database).

For the raw formation energy, the calculation gives -697 meV/atom. The value obtained for the volume is 34.24 Å³ per atom.

The structure belongs to space group Cmme (No. 67); the cell edges are 6.4524, 15.4827 and 6.8549 Å and the angles 90.00°, 90.00° and 90.00°. The inequivalent atoms are K at (0.0000, 0.2500, 0.2078), Li at (0.2500, 0.0000, 0.5000), Hg at (0.0000, 0.0000, 0.0000) and Te at (0.0000, 0.1196, 0.7198).

***

# CeSmErHf

A relaxed structure of CeSmErHf (PBE-GGA, the Alexandria database).

The value obtained for the volume is 28.39 Å³ per atom. Its formation energy is 0.259 eV per atom.

The structure belongs to space group F-43m (No. 216); the cell edges are 7.6867, 7.6867 and 7.6867 Å and the angles 90.00°, 90.00° and 90.00°. The inequivalent atoms are Ce at (0.0000, 0.0000, 0.0000), Sm at (0.0000, 0.0000, 0.5000), Er at (0.2500, 0.2500, 0.7500) and Hf at (0.2500, 0.2500, 0.2500).